No. 1
A relaxed structure of Sr2Mg2Sn2H. Source: Alexandria via LeMat-Bulk, functional PBE-GGA.

Cell lengths 8.966, 8.966, 8.966 Å; angles 149.83, 149.83, 43.20 degrees
Atoms (fractional coordinates):
Sr1 0.165 0.165 0.000
Sr2 0.835 0.835 0.000
Mg1 0.000 0.500 0.500
Mg2 0.500 0.000 0.500
Sn1 0.381 0.381 0.000
Sn2 0.619 0.619 0.000
H1 0.000 0.000 0.000

Computed properties:
- Total magnetic moment: 0.00 μB/cell
- E: -3.030 eV/atom

***

No. 2
A relaxed structure of Mg2TcSnH8. Source: Alexandria via LeMat-Bulk, functional PBE-GGA.

Cell lengths 4.711, 4.757, 5.603 Å; angles 65.62, 89.94, 88.80 degrees
Atoms (fractional coordinates):
Mg1 0.008 0.199 0.229
Mg2 0.992 0.801 0.771
Tc1 0.500 0.500 0.000
Sn1 0.500 0.500 0.500
H1 0.001 0.232 0.561
H2 0.222 0.338 0.895
H3 0.232 0.700 0.088
H4 0.489 0.114 0.240
H5 0.511 0.886 0.760
H6 0.768 0.300 0.912
H7 0.778 0.662 0.105
H8 0.999 0.768 0.439

Computed properties:
- Total magnetic moment: 0.00 μB/cell
- E: -3.702 eV/atom

***

No. 3
A relaxed structure of Mg2TcSnH. Source: Alexandria via LeMat-Bulk, functional PBE-GGA.

Cell lengths 4.405, 4.405, 3.846 Å; angles 90.00, 90.00, 90.00 degrees
Atoms (fractional coordinates):
Mg1 0.000 0.500 0.000
Mg2 0.500 0.000 0.000
Tc1 0.000 0.000 0.500
Sn1 0.500 0.500 0.500
H1 0.000 0.000 0.000

Computed properties:
- Total magnetic moment: 0.00 μB/cell
- E: -4.144 eV/atom

***

> What is the E in the second record?

-3.702 eV/atom